This record from Alexandria via LeMat-Bulk describes an optimized crystal structure of PaAgMoO6. The functional is PBE+U.

Calculated values
As for the electronic total energy: -135.1 eV/cell. As for the magnetic moment: 0.00 μB/f.u.

Cell lengths 5.6182, 5.6182, 9.8410 Å; angles 90.00, 90.00, 120.00 degrees
Closest atoms and distances in Å follow each position.
Atoms (fractional coordinates):
Pa (0.3333, 0.6667, 0.2500)  6 O 2.18
Pa (0.6667, 0.3333, 0.7500)  6 O 2.18
Ag (0.0000, 0.0000, 0.0000)  6 O 2.52
Ag (0.0000, 0.0000, 0.5000)  6 O 2.52
Mo (0.6667, 0.3333, 0.2500)  6 O 1.96
Mo (0.3333, 0.6667, 0.7500)  6 O 1.96
O (0.6412, 0.6117, 0.1415)  1 Mo 1.96, 1 Pa 2.18
O (0.9705, 0.3588, 0.1415)  1 Mo 1.96, 1 Pa 2.18
O (0.3588, 0.9705, 0.6415)  1 Mo 1.96, 1 Pa 2.18
O (0.0295, 0.6412, 0.8585)  1 Mo 1.96, 1 Pa 2.18
O (0.3883, 0.3588, 0.3585)  1 Mo 1.96, 1 Pa 2.18
O (0.9705, 0.6117, 0.3585)  1 Mo 1.96, 1 Pa 2.18
O (0.6117, 0.9705, 0.8585)  1 Mo 1.96, 1 Pa 2.18
O (0.6412, 0.0295, 0.3585)  1 Mo 1.96, 1 Pa 2.18
O (0.0295, 0.3883, 0.6415)  1 Mo 1.96, 1 Pa 2.18
O (0.3883, 0.0295, 0.1415)  1 Mo 1.96, 1 Pa 2.18
O (0.6117, 0.6412, 0.6415)  1 Mo 1.96, 1 Pa 2.18
O (0.3588, 0.3883, 0.8585)  1 Mo 1.96, 1 Pa 2.18